Record 1
A relaxed Sm3DyZn4 crystal. Source: the Alexandria database, functional PBE.

The structure in extended XYZ format:
```
8
Lattice="2.559 1.477 8.377 -2.559 1.477 8.377 0.000 -2.955 8.377" Properties=species:S:1:pos:R:3 pbc="T T T"
Sm 0.000 0.000 0.000
Sm 0.000 0.000 6.261
Sm 0.000 0.000 18.869
Dy 0.000 0.000 12.565
Zn 0.000 0.000 3.168
Zn 0.000 0.000 9.452
Zn 0.000 0.000 15.679
Zn 0.000 0.000 21.962
```

## Properties
For the formation energy, the calculation gives -0.323 eV/atom. The space group is R-3m, No. 166.

=====

Record 2
A relaxed GaFe2NiPb crystal. Source: the Alexandria database, functional PBE.

The structure in extended XYZ format:
```
5
Lattice="4.902 0.000 0.000 0.000 4.902 0.000 0.000 0.000 5.150" Properties=species:S:1:pos:R:3 pbc="T T T"
Ga 0.000 0.000 0.000
Fe 0.000 2.451 2.575
Fe 2.451 0.000 2.575
Ni 2.451 2.451 0.000
Pb 0.000 0.000 2.575
```

## Properties
For the formation energy, the calculation gives 1.787 eV/atom. The space group is P4/mmm, No. 123.